1.
The following is a DFT calculation (PBE) of an optimized crystal structure of YTc2As.

abc: 5.4187 5.4187 3.0207
angles: 74.63 74.63 115.13
With the nearest neighbours (Å) after each atom.
Atoms (fractional coordinates):
Y: 0.5000 0.0000 0.5000  4 Tc 2.73, 4 As 2.91-2.98, 2 Y 3.02
As: 0.0000 0.5000 0.5000  4 Tc 2.73, 4 Y 2.91-2.98, 2 As 3.02
Tc: 0.0000 0.0000 0.0000  2 Y 2.73, 2 As 2.73, 6 Tc 2.91-3.02
Tc: 0.5000 0.5000 0.0000  2 As 2.73, 2 Y 2.73, 6 Tc 2.91-3.02

For the formation energy, the calculation gives 0.17 eV/atom. The value obtained for the energy relative to the lowest polymorph listed for this composition is 529 meV/atom.


2.
The following is a DFT calculation (PBE) of an optimized crystal structure of YTc2As.

abc: 3.7899 4.0057 4.6764
angles: 90.00 90.00 90.00
With the nearest neighbours (Å) after each atom.
Atoms (fractional coordinates):
Y: 0.5000 0.0000 0.5000  4 As 2.76, 8 Tc 3.01-3.08
As: 0.0000 0.5000 0.5000  4 Y 2.76, 8 Tc 3.01-3.08
Tc: 0.0000 0.0000 0.0000  4 Tc 2.76, 4 Y 3.01, 4 As 3.08
Tc: 0.5000 0.5000 0.0000  4 Tc 2.76, 4 As 3.01, 4 Y 3.08

For the formation energy, the calculation gives 0.04 eV/atom. The value obtained for the energy relative to the lowest polymorph listed for this composition is 396 meV/atom.


3.
The following is a DFT calculation (PBE) of an optimized crystal structure of YTcAs2.

abc: 6.9375 6.9375 6.9375
angles: 152.60 149.24 41.66
With the nearest neighbours (Å) after each atom.
Atoms (fractional coordinates):
Y: 0.7012 0.2012 0.5000  6 As 2.84-2.86
As: 0.0324 0.0324 0.0000  4 Tc 2.66, 2 Y 2.86
As: 0.3105 0.8105 0.5000  2 Tc 2.50
Tc: 0.4560 0.4560 0.0000  6 As 2.50-2.66

For the formation energy, the calculation gives -0.57 eV/atom. The value obtained for the energy relative to the lowest polymorph listed for this composition is 41 meV/atom.


4.
The following is a DFT calculation (PBE) of an optimized crystal structure of Y4TcAs.

abc: 6.0188 6.0188 6.0188
angles: 60.00 60.00 60.00
With the nearest neighbours (Å) after each atom.
Atoms (fractional coordinates):
Y: 0.8784 0.3739 0.3739  6 Y 2.98-3.04
Y: 0.3739 0.3739 0.8784  6 Y 2.98-3.04
Y: 0.3739 0.8784 0.3739  6 Y 2.98-3.04
Y: 0.3739 0.3739 0.3739  6 Y 2.98-3.04
Tc: 0.0000 0.0000 0.0000  12 Y 3.53, 4 As 3.69
As: 0.7500 0.7500 0.7500  12 Y 3.53, 4 Tc 3.69

For the formation energy, the calculation gives 0.72 eV/atom.


5.
The following is a DFT calculation (PBE) of an optimized crystal structure of YTcAs2.

abc: 4.2009 3.6685 5.2162
angles: 87.51 90.00 90.00
With the nearest neighbours (Å) after each atom.
Atoms (fractional coordinates):
Y: 0.5000 0.7500 0.7500  8 As 2.99-3.14, 4 Tc 3.12-3.25
As: 0.0000 0.2014 0.9919  2 Tc 2.51, 2 As 2.53-2.73
As: 0.0000 0.2986 0.5081  2 Tc 2.51, 2 As 2.53-2.73
Tc: 0.5000 0.2500 0.2500  4 As 2.51

For the formation energy, the calculation gives -0.47 eV/atom. The value obtained for the energy relative to the lowest polymorph listed for this composition is 139 meV/atom.


6.
The following is a DFT calculation (PBE) of an optimized crystal structure of YTcAs.

abc: 4.3142 4.3142 3.7218
angles: 90.00 90.00 120.00
With the nearest neighbours (Å) after each atom.
Atoms (fractional coordinates):
Y: 0.3333 0.6667 0.6666  6 Tc 3.11, 6 As 3.11
As: 0.0000 0.0000 0.1666  3 Tc 2.49
Tc: 0.6667 0.3333 0.1667  3 As 2.49

For the formation energy, the calculation gives -0.49 eV/atom. The value obtained for the energy relative to the lowest polymorph listed for this composition is 0 meV/atom.